Record 1
Nd2MnBiO6 | PBE with a Hubbard U | relaxed

VASP energy: -7.218 eV/atom
SG: No. 99

a = 5.403 Å, b = 5.403 Å, c = 5.436 Å
α = 90.00°, β = 90.00°, γ = 90.00°
Positions (direct):
Nd 0.000 0.500 0.000
Nd 0.500 0.000 0.000
Mn 0.000 0.000 0.617
Bi 0.500 0.500 0.546
O 0.000 0.000 0.222
O 0.239 0.239 0.738
O 0.239 0.761 0.738
O 0.500 0.500 0.122
O 0.761 0.239 0.738
O 0.761 0.761 0.738

---

Record 2
NdMn2BiO8 | PBE with a Hubbard U | relaxed

VASP energy: -6.672 eV/atom
SG: No. 164

a = 5.762 Å, b = 5.762 Å, c = 6.954 Å
α = 90.00°, β = 90.00°, γ = 120.00°
Positions (direct):
Nd 0.000 0.000 0.000
Mn 0.333 0.667 0.321
Mn 0.667 0.333 0.679
Bi 0.000 0.000 0.500
O 0.166 0.333 0.243
O 0.166 0.834 0.243
O 0.333 0.166 0.757
O 0.333 0.667 0.555
O 0.667 0.333 0.445
O 0.667 0.834 0.243
O 0.834 0.166 0.757
O 0.834 0.667 0.757